[1]
Here is a geometry-optimized Hg2MoOs structure from Alexandria. Energies are from PBE.

Summary:
- ΔE to the lowest computed polymorph (meV/atom) = 609
- spin magnetization (μB/cell) = 1.37
- Fermi-level density of states (states/eV per cell) = 4.309
- energy relative to the elements (eV/f.u.) = 3.763
- symmetry = P4/mmm

```
Hg2MoOs
1.0
2.847 0.000 0.000
0.000 2.847 0.000
0.000 0.000 8.785
Hg Mo Os
2 1 1
Cartesian
0.000 0.000 8.752
0.000 0.000 4.425
1.424 1.424 2.196
1.424 1.424 6.589
```

***

[2]
Here is a geometry-optimized Hg2MoOs structure from Alexandria. Energies are from PBE.

Summary:
- ΔE to the lowest computed polymorph (meV/atom) = 630
- spin magnetization (μB/cell) = 0.33
- Fermi-level density of states (states/eV per cell) = 5.379
- energy relative to the elements (eV/f.u.) = 3.846
- symmetry = Cmmm

```
Hg2MoOs
1.0
5.230 -0.007 0.000
-2.338 4.678 0.000
0.000 0.000 2.920
Hg Mo Os
2 1 1
Cartesian
0.000 0.000 0.000
1.446 2.335 0.000
2.615 -0.003 1.460
-1.169 2.339 1.460
```

***

[3]
Here is a geometry-optimized HgMo3Os structure from Alexandria. Energies are from PBE.

Summary:
- ΔE to the lowest computed polymorph (meV/atom) = 0
- spin magnetization (μB/cell) = 0.00
- Fermi-level density of states (states/eV per cell) = 5.291
- energy relative to the elements (eV/f.u.) = 7.709
- symmetry = Pm-3m

```
HgMo3Os
1.0
-0.605 4.546 -1.264
-0.046 -1.280 -4.582
-4.719 -0.570 0.207
Mo Os Hg
3 1 1
Cartesian
-0.023 -0.640 -2.291
-2.359 -0.285 0.103
-0.302 2.273 -0.632
0.000 0.000 0.000
-2.685 1.348 -2.820
```

***

[4]
Here is a geometry-optimized Hg2MoOs structure from Alexandria. Energies are from PBE.

Summary:
- ΔE to the lowest computed polymorph (meV/atom) = 728
- spin magnetization (μB/cell) = 0.00
- Fermi-level density of states (states/eV per cell) = 3.366
- energy relative to the elements (eV/f.u.) = 4.237
- symmetry = P4/mmm

```
Hg2MoOs
1.0
-4.174 -0.577 -1.918
1.433 -3.957 -1.930
-0.988 -1.649 2.647
Hg Mo Os
2 1 1
Cartesian
0.000 0.000 0.000
-1.370 -2.267 -1.924
-2.581 -1.113 0.365
0.223 -2.803 0.358
```

***

[5]
Here is a geometry-optimized Hg2MoOs structure from Alexandria. Energies are from PBE.

Summary:
- ΔE to the lowest computed polymorph (meV/atom) = 589
- spin magnetization (μB/cell) = 0.00
- Fermi-level density of states (states/eV per cell) = 4.249
- energy relative to the elements (eV/f.u.) = 3.680
- symmetry = P4/mmm

```
Hg2MoOs
1.0
-2.149 3.419 -2.095
-2.237 -2.613 -1.970
-2.684 0.100 2.916
Hg Mo Os
2 1 1
Cartesian
0.000 0.000 0.000
-2.460 -1.257 0.473
-2.193 0.403 -2.032
-2.416 1.760 0.410
```

***

[6]
Here is a geometry-optimized Hg2MoOs structure from Alexandria. Energies are from PBE.

Summary:
- ΔE to the lowest computed polymorph (meV/atom) = 0
- spin magnetization (μB/cell) = 0.00
- Fermi-level density of states (states/eV per cell) = 1.851
- energy relative to the elements (eV/f.u.) = 1.325
- symmetry = Pm

```
Hg2MoOs
1.0
2.984 0.000 0.000
0.000 2.987 -0.113
0.000 2.486 8.477
Hg Mo Os
2 1 1
Cartesian
0.000 2.804 8.196
1.492 1.055 2.356
0.000 2.645 4.530
1.492 4.190 5.939
```

***

[7]
Here is a geometry-optimized Hg2MoOs structure from Alexandria. Energies are from PBE.

Summary:
- ΔE to the lowest computed polymorph (meV/atom) = 670
- spin magnetization (μB/cell) = 0.29
- Fermi-level density of states (states/eV per cell) = 3.857
- energy relative to the elements (eV/f.u.) = 4.005
- symmetry = Fm-3m

```
Hg2MoOs
1.0
0.000 3.270 3.270
3.270 0.000 3.270
3.270 3.270 0.000
Mo Os Hg
1 1 2
Cartesian
0.000 0.000 0.000
3.270 3.270 3.270
1.635 1.635 1.635
4.905 4.905 4.905
```

***

[8]
Here is a geometry-optimized HgMoOs4 structure from Alexandria. Energies are from PBE.

Summary:
- spin magnetization (μB/cell) = 0.00
- Fermi-level density of states (states/eV per cell) = 5.946
- energy relative to the elements (eV/f.u.) = 4.419
- symmetry = F-43m

```
HgMoOs4
1.0
3.424 -3.354 -1.962
0.490 -4.717 2.082
-1.652 -4.163 -2.601
Hg Mo Os
1 1 4
Cartesian
1.696 -9.175 -1.861
0.000 0.000 0.000
2.559 -6.264 -1.911
0.023 -6.669 -2.231
1.093 -6.946 0.110
0.848 -4.588 -0.931
```

***

Number 1 is which compound? Hg2MoOs

***

What did the eighth record say?
Here is a geometry-optimized HgMoOs4 structure from Alexandria. Energies are from PBE.

Summary:
- spin magnetization (μB/cell) = 0.00
- Fermi-level density of states (states/eV per cell) = 5.946
- energy relative to the elements (eV/f.u.) = 4.419
- symmetry = F-43m

```
HgMoOs4
1.0
3.424 -3.354 -1.962
0.490 -4.717 2.082
-1.652 -4.163 -2.601
Hg Mo Os
1 1 4
Cartesian
1.696 -9.175 -1.861
0.000 0.000 0.000
2.559 -6.264 -1.911
0.023 -6.669 -2.231
1.093 -6.946 0.110
0.848 -4.588 -0.931
```